A geometry-optimized Zn2FePd structure. Source: Alexandria via LeMat-Bulk, functional PBE-GGA.

Properties
Crystal system: tetragonal
E_form, meV/atom: -159
Space-group type: No. 123
Electronic total energy, eV/atom: -4.210

abc: 2.8105 4.4206 4.4206
angles: 90.00 90.00 90.00
Closest atoms and distances in Å follow each position.
Fractional coordinates of all 4 atoms:
Zn1 0.0000 0.0000 0.5000  4 Fe 2.62, 4 Pd 2.62, 2 Zn 2.81
Zn2 0.0000 0.5000 0.0000  4 Fe 2.62, 4 Pd 2.62, 2 Zn 2.81
Fe1 0.5000 0.5000 0.5000  8 Zn 2.62, 2 Fe 2.81
Pd1 0.5000 0.0000 0.0000  8 Zn 2.62, 2 Pd 2.81



A geometry-optimized Zn2FePd structure. Source: Alexandria via LeMat-Bulk, functional PBE-GGA.

Properties
Crystal system: trigonal
E_form, meV/atom: 98
Space-group type: No. 166
Electronic total energy, eV/atom: -3.953

abc: 2.7364 2.7364 9.3793
angles: 81.61 81.61 60.00
Closest atoms and distances in Å follow each position.
Fractional coordinates of all 4 atoms:
Zn1 0.0892 0.0892 0.7325  1 Fe 2.47, 3 Pd 2.67, 6 Zn 2.74
Zn2 0.9108 0.9108 0.2675  1 Fe 2.47, 3 Pd 2.67, 6 Zn 2.74
Fe1 0.0000 0.0000 0.0000  2 Zn 2.47, 6 Fe 2.74
Pd1 0.5000 0.5000 0.5000  6 Zn 2.67, 6 Pd 2.74



A geometry-optimized ZnFe2Pd7 structure. Source: Alexandria via LeMat-Bulk, functional PBE-GGA.

Properties
Crystal system: orthorhombic
E_form, meV/atom: 351
Space-group type: No. 65
Electronic total energy, eV/atom: -5.104

abc: 4.2259 7.1335 7.1335
angles: 119.03 90.00 90.00
Closest atoms and distances in Å follow each position.
Fractional coordinates of all 10 atoms:
Zn1 0.0000 0.0000 0.0000  2 Pd 2.54
Fe1 0.5000 0.6999 0.3001  7 Pd 2.40-2.67
Fe2 0.5000 0.3001 0.6999  7 Pd 2.40-2.67
Pd1 0.0000 0.7930 0.2070  2 Fe 2.40, 1 Zn 2.54
Pd2 0.0000 0.2070 0.7930  2 Fe 2.40, 1 Zn 2.54
Pd3 0.5000 0.0746 0.3016  2 Fe 2.50-2.67, 5 Pd 2.65-2.79
Pd4 0.5000 0.9254 0.6984  2 Fe 2.50-2.67, 5 Pd 2.65-2.79
Pd5 0.5000 0.3016 0.0746  2 Fe 2.50-2.67, 5 Pd 2.65-2.79
Pd6 0.5000 0.6984 0.9254  2 Fe 2.50-2.67, 5 Pd 2.65-2.79
Pd7 0.5000 0.5000 0.5000  2 Fe 2.46, 4 Pd 2.65



A geometry-optimized ZnFe2Pd6 structure. Source: Alexandria via LeMat-Bulk, functional PBE-GGA.

Properties
Crystal system: monoclinic
E_form, meV/atom: -185
Space-group type: No. 12
Electronic total energy, eV/atom: -5.669

abc: 3.9459 5.8981 6.2952
angles: 84.04 71.74 70.46
Closest atoms and distances in Å follow each position.
Fractional coordinates of all 9 atoms:
Zn1 0.0000 0.5000 0.5000  8 Pd 2.63-2.66, 4 Fe 2.85
Fe1 0.3280 0.5000 0.8439  8 Pd 2.61-2.70, 2 Fe 2.72, 2 Zn 2.85
Fe2 0.6720 0.5000 0.1561  8 Pd 2.61-2.70, 2 Fe 2.72, 2 Zn 2.85
Pd1 0.6749 0.8166 0.8336  3 Fe 2.61-2.64, 1 Zn 2.66, 8 Pd 2.80-2.87
Pd2 0.3251 0.1834 0.1664  3 Fe 2.61-2.64, 1 Zn 2.66, 8 Pd 2.80-2.87
Pd3 0.0085 0.8166 0.1665  3 Fe 2.61-2.64, 1 Zn 2.66, 8 Pd 2.80-2.86
Pd4 0.3432 0.8136 0.5000  2 Zn 2.63, 2 Fe 2.69-2.70, 8 Pd 2.80-2.87
Pd5 0.9915 0.1834 0.8335  3 Fe 2.61-2.64, 1 Zn 2.66, 8 Pd 2.80-2.86
Pd6 0.6568 0.1864 0.5000  2 Zn 2.63, 2 Fe 2.69-2.70, 8 Pd 2.80-2.87



A geometry-optimized ZnFe2Pd5 structure. Source: Alexandria via LeMat-Bulk, functional PBE-GGA.

Properties
Crystal system: orthorhombic
E_form, meV/atom: -185
Space-group type: No. 55
Electronic total energy, eV/atom: -5.705

abc: 4.0375 5.4115 10.6501
angles: 90.00 90.00 90.00
Closest atoms and distances in Å follow each position.
Fractional coordinates of all 16 atoms:
Zn1 0.0000 0.0000 0.5000  8 Pd 2.59-2.71
Zn2 0.0000 0.5000 0.0000  8 Pd 2.59-2.71
Fe1 0.5000 0.3059 0.3650  10 Pd 2.66-2.79
Fe2 0.5000 0.6941 0.6350  10 Pd 2.66-2.79
Fe3 0.5000 0.1941 0.8650  10 Pd 2.66-2.79
Fe4 0.5000 0.8059 0.1350  10 Pd 2.66-2.79
Pd1 0.5000 0.3001 0.1133  2 Zn 2.59, 4 Fe 2.68-2.75, 6 Pd 2.83-2.86
Pd2 0.5000 0.6999 0.8867  2 Zn 2.59, 4 Fe 2.68-2.75, 6 Pd 2.83-2.86
Pd3 0.5000 0.8001 0.3867  2 Zn 2.59, 4 Fe 2.68-2.75, 6 Pd 2.83-2.86
Pd4 0.5000 0.1999 0.6133  2 Zn 2.59, 4 Fe 2.68-2.75, 6 Pd 2.83-2.86
Pd5 0.0000 0.9335 0.7425  1 Zn 2.61, 4 Fe 2.66-2.79, 7 Pd 2.71-2.84
Pd6 0.0000 0.0665 0.2575  1 Zn 2.61, 4 Fe 2.66-2.79, 7 Pd 2.71-2.84
Pd7 0.0000 0.4335 0.7575  1 Zn 2.61, 4 Fe 2.66-2.79, 7 Pd 2.71-2.84
Pd8 0.0000 0.5665 0.2425  1 Zn 2.61, 4 Fe 2.66-2.79, 7 Pd 2.71-2.84
Pd9 0.0000 0.5000 0.5000  4 Fe 2.69, 2 Zn 2.71, 6 Pd 2.77-2.86
Pd10 0.0000 0.0000 0.0000  4 Fe 2.69, 2 Zn 2.71, 6 Pd 2.77-2.86



A geometry-optimized ZnFe2Pd2 structure. Source: Alexandria via LeMat-Bulk, functional PBE-GGA.

Properties
Crystal system: tetragonal
E_form, meV/atom: 69
Space-group type: No. 127
Electronic total energy, eV/atom: -5.648
Energy relative to the lowest polymorph listed for this composition, eV per formula unit: 0.00

abc: 7.3432 7.3432 2.7530
angles: 90.00 90.00 90.00
Closest atoms and distances in Å follow each position.
Fractional coordinates of all 10 atoms:
Zn1 0.0000 0.0000 0.0000  2 Zn 2.75, 4 Fe 2.96, 8 Pd 3.02
Zn2 0.5000 0.5000 0.0000  2 Zn 2.75, 4 Fe 2.96, 8 Pd 3.02
Fe1 0.3864 0.8864 0.0000  1 Fe 2.36, 6 Pd 2.54-2.61
Fe2 0.8864 0.6136 0.0000  1 Fe 2.36, 6 Pd 2.54-2.61
Fe3 0.6136 0.1136 0.0000  1 Fe 2.36, 6 Pd 2.54-2.61
Fe4 0.1136 0.3864 0.0000  1 Fe 2.36, 6 Pd 2.54-2.61
Pd1 0.1809 0.6809 0.5000  6 Fe 2.54-2.61, 2 Pd 2.75
Pd2 0.6809 0.8191 0.5000  6 Fe 2.54-2.61, 2 Pd 2.75
Pd3 0.8191 0.3191 0.5000  6 Fe 2.54-2.61, 2 Pd 2.75
Pd4 0.3191 0.1809 0.5000  6 Fe 2.54-2.61, 2 Pd 2.75



A geometry-optimized Zn2Fe2Pd7 structure. Source: Alexandria via LeMat-Bulk, functional PBE-GGA.

Properties
Crystal system: monoclinic
E_form, meV/atom: -165
Space-group type: No. 12
Electronic total energy, eV/atom: -5.240

abc: 6.6560 5.0360 5.0360
angles: 97.90 97.32 97.32
Closest atoms and distances in Å follow each position.
Fractional coordinates of all 11 atoms:
Zn1 0.5000 0.3017 0.6983  8 Pd 2.60-2.73, 2 Fe 2.81
Zn2 0.5000 0.6983 0.3017  8 Pd 2.60-2.73, 2 Fe 2.81
Fe1 0.8620 0.6094 0.6094  1 Fe 2.55, 8 Pd 2.57-2.66, 2 Zn 2.81
Fe2 0.1380 0.3906 0.3906  1 Fe 2.55, 8 Pd 2.57-2.66, 2 Zn 2.81
Pd1 0.1929 0.9112 0.5304  3 Fe 2.59-2.66, 2 Zn 2.61-2.73, 4 Pd 2.82-2.89
Pd2 0.8071 0.4696 0.0888  3 Fe 2.59-2.66, 2 Zn 2.61-2.73, 4 Pd 2.82-2.89
Pd3 0.8071 0.0888 0.4696  3 Fe 2.59-2.66, 2 Zn 2.61-2.73, 4 Pd 2.82-2.89
Pd4 0.1929 0.5304 0.9112  3 Fe 2.59-2.66, 2 Zn 2.61-2.73, 4 Pd 2.82-2.89
Pd5 0.0000 0.0000 0.0000  2 Fe 2.57, 6 Pd 2.81-2.84
Pd6 0.5790 0.8266 0.8266  1 Fe 2.58, 4 Zn 2.60-2.66, 4 Pd 2.70-2.85
Pd7 0.4210 0.1734 0.1734  1 Fe 2.58, 4 Zn 2.60-2.66, 4 Pd 2.70-2.85



A geometry-optimized ZnFe2Pd structure. Source: Alexandria via LeMat-Bulk, functional PBE-GGA.

Properties
Crystal system: tetragonal
E_form, meV/atom: 360
Space-group type: No. 122
Electronic total energy, eV/atom: -5.488

abc: 6.8863 6.8863 5.4697
angles: 50.99 50.99 90.00
Closest atoms and distances in Å follow each position.
Fractional coordinates of all 8 atoms:
Zn1 0.5000 0.5000 0.0000  2 Pd 2.49, 4 Fe 2.51
Zn2 0.2500 0.7500 0.5000  2 Pd 2.49, 4 Fe 2.51
Fe1 0.6251 0.1250 0.2500  2 Fe 2.49, 2 Pd 2.51, 2 Zn 2.51
Fe2 0.1249 0.6250 0.2500  2 Fe 2.49, 2 Pd 2.51, 2 Zn 2.51
Fe3 0.3750 0.3749 0.7500  2 Fe 2.49, 2 Pd 2.51, 2 Zn 2.51
Fe4 0.8750 0.8751 0.7500  2 Fe 2.49, 2 Pd 2.51, 2 Zn 2.51
Pd1 0.0000 0.0000 0.0000  2 Zn 2.49, 4 Fe 2.51
Pd2 0.7500 0.2500 0.5000  2 Zn 2.49, 4 Fe 2.51



A geometry-optimized Zn6FePd12 structure. Source: Alexandria via LeMat-Bulk, functional PBE-GGA.

Properties
Crystal system: trigonal
E_form, meV/atom: -296
Space-group type: No. 148
Electronic total energy, eV/atom: -4.423

abc: 7.2942 7.2942 7.2942
angles: 110.69 110.69 110.69
Closest atoms and distances in Å follow each position.
Fractional coordinates of all 19 atoms:
Zn1 0.6942 0.8117 0.5267  7 Pd 2.62-2.78, 1 Fe 2.80
Zn2 0.4733 0.3058 0.1883  7 Pd 2.62-2.78, 1 Fe 2.80
Zn3 0.1883 0.4733 0.3058  7 Pd 2.62-2.78, 1 Fe 2.80
Zn4 0.3058 0.1883 0.4733  7 Pd 2.62-2.78, 1 Fe 2.80
Zn5 0.5267 0.6942 0.8117  7 Pd 2.62-2.78, 1 Fe 2.80
Zn6 0.8117 0.5267 0.6942  7 Pd 2.62-2.78, 1 Fe 2.80
Fe1 0.0000 0.0000 0.0000  6 Pd 2.70, 6 Zn 2.80
Pd1 0.9199 0.6224 0.4188  4 Zn 2.62-2.78, 8 Pd 2.78-2.91
Pd2 0.4188 0.9199 0.6224  4 Zn 2.62-2.78, 8 Pd 2.78-2.91
Pd3 0.6224 0.4188 0.9199  4 Zn 2.62-2.78, 8 Pd 2.78-2.91
Pd4 0.0801 0.3776 0.5812  4 Zn 2.62-2.78, 8 Pd 2.78-2.91
Pd5 0.5812 0.0801 0.3776  4 Zn 2.62-2.78, 8 Pd 2.78-2.91
Pd6 0.3776 0.5812 0.0801  4 Zn 2.62-2.78, 8 Pd 2.78-2.91
Pd7 0.8439 0.9005 0.2589  3 Zn 2.65-2.71, 1 Fe 2.70, 8 Pd 2.70-2.88
Pd8 0.0995 0.7411 0.1561  3 Zn 2.65-2.71, 1 Fe 2.70, 8 Pd 2.70-2.88
Pd9 0.7411 0.1561 0.0995  3 Zn 2.65-2.71, 1 Fe 2.70, 8 Pd 2.70-2.88
Pd10 0.1561 0.0995 0.7411  3 Zn 2.65-2.71, 1 Fe 2.70, 8 Pd 2.70-2.88
Pd11 0.9005 0.2589 0.8439  3 Zn 2.65-2.71, 1 Fe 2.70, 8 Pd 2.70-2.88
Pd12 0.2589 0.8439 0.9005  3 Zn 2.65-2.71, 1 Fe 2.70, 8 Pd 2.70-2.88



A geometry-optimized ZnFe6Pd12 structure. Source: Alexandria via LeMat-Bulk, functional PBE-GGA.

Properties
Crystal system: trigonal
E_form, meV/atom: -109
Space-group type: No. 148
Electronic total energy, eV/atom: -6.128

abc: 6.6974 7.2353 7.2353
angles: 69.07 72.03 107.97
Closest atoms and distances in Å follow each position.
Fractional coordinates of all 19 atoms:
Zn1 0.0000 0.0000 0.0000  12 Pd 2.77-2.78
Fe1 0.4179 0.4755 0.2170  9 Pd 2.66-2.78, 3 Fe 2.73-2.83
Fe2 0.0576 0.6925 0.5245  9 Pd 2.66-2.78, 3 Fe 2.73-2.83
Fe3 0.3651 0.7830 0.6925  9 Pd 2.66-2.78, 3 Fe 2.73-2.83
Fe4 0.5821 0.5245 0.7830  9 Pd 2.66-2.78, 3 Fe 2.73-2.83
Fe5 0.9424 0.3075 0.4755  9 Pd 2.66-2.78, 3 Fe 2.73-2.83
Fe6 0.6349 0.2170 0.3075  9 Pd 2.66-2.78, 3 Fe 2.73-2.83
Pd1 0.5235 0.8498 0.2708  4 Fe 2.66-2.78, 7 Pd 2.69-2.83, 1 Zn 2.77
Pd2 0.6737 0.8794 0.8498  4 Fe 2.66-2.78, 7 Pd 2.69-2.83, 1 Zn 2.77
Pd3 0.7943 0.2708 0.8794  4 Fe 2.66-2.78, 7 Pd 2.69-2.83, 1 Zn 2.77
Pd4 0.4765 0.1502 0.7292  4 Fe 2.66-2.78, 7 Pd 2.69-2.83, 1 Zn 2.77
Pd5 0.3263 0.1206 0.1502  4 Fe 2.66-2.78, 7 Pd 2.69-2.83, 1 Zn 2.77
Pd6 0.2057 0.7292 0.1206  4 Fe 2.66-2.78, 7 Pd 2.69-2.83, 1 Zn 2.77
Pd7 0.2623 0.4275 0.6247  5 Fe 2.66-2.75, 6 Pd 2.69-2.83, 1 Zn 2.78
Pd8 0.1130 0.3753 0.0522  5 Fe 2.66-2.75, 6 Pd 2.69-2.83, 1 Zn 2.78
Pd9 0.1652 0.0522 0.5725  5 Fe 2.66-2.75, 6 Pd 2.69-2.83, 1 Zn 2.78
Pd10 0.7377 0.5725 0.3753  5 Fe 2.66-2.75, 6 Pd 2.69-2.83, 1 Zn 2.78
Pd11 0.8870 0.6247 0.9478  5 Fe 2.66-2.75, 6 Pd 2.69-2.83, 1 Zn 2.78
Pd12 0.8348 0.9478 0.4275  5 Fe 2.66-2.75, 6 Pd 2.69-2.83, 1 Zn 2.78



A geometry-optimized Zn2FePd structure. Source: Alexandria via LeMat-Bulk, functional PBE-GGA.

Properties
Crystal system: tetragonal
E_form, meV/atom: -211
Space-group type: No. 123
Electronic total energy, eV/atom: -4.262

abc: 2.7894 2.7894 7.0338
angles: 90.00 90.00 90.00
Closest atoms and distances in Å follow each position.
Fractional coordinates of all 4 atoms:
Zn1 0.0000 0.0000 0.7446  4 Fe 2.62, 4 Pd 2.67, 4 Zn 2.79
Zn2 0.0000 0.0000 0.2554  4 Fe 2.62, 4 Pd 2.67, 4 Zn 2.79
Fe1 0.5000 0.5000 0.5000  8 Zn 2.62, 4 Fe 2.79
Pd1 0.5000 0.5000 0.0000  8 Zn 2.67, 4 Pd 2.79



Question: Which of these has the lowest electronic total energy?
Answer: ZnFe6Pd12



Question: What is the E_form in the sixth record?
Answer: 69 meV/atom



Question: Look up the electronic total energy of the eighth one.
Answer: -5.488 eV/atom



Question: What is the electronic total energy in the first record?
Answer: -4.210 eV/atom